ZrTaCrRe | PBE | optimized geometry

## Properties
The crystal system is cubic. As for the calculated total energy: -10.72 eV/atom. The density of states at the Fermi level is 4.53 states/eV/f.u.

Cell and atoms, written as POSCAR:
```
ZrTaCrRe
1.0
0.000 3.213 3.213
3.213 0.000 3.213
3.213 3.213 0.000
Zr Ta Cr Re
1 1 1 1
Direct
0.000 0.000 0.000
0.500 0.500 0.500
0.750 0.750 0.750
0.250 0.250 0.250
```

=====

CrRe2Tc | PBE | optimized geometry

## Properties
The crystal system is monoclinic. The energy relative to the lowest polymorph listed for this composition is 20 meV/atom. The density of states at the Fermi level is 4.07 states/eV/f.u.

Cell and atoms, written as POSCAR:
```
CrRe2Tc
1.0
2.687 0.000 0.000
0.000 4.196 0.000
-1.207 0.000 5.059
Cr Re Tc
1 2 1
Direct
0.000 0.000 0.000
0.184 0.500 0.759
0.816 0.500 0.241
0.500 0.000 0.500
```

=====

CrRe2Tc | PBE | optimized geometry

## Properties
The crystal system is tetragonal. The energy relative to the lowest polymorph listed for this composition is 0 meV/atom. The density of states at the Fermi level is 4.47 states/eV/f.u.

Cell and atoms, written as POSCAR:
```
CrRe2Tc
1.0
-1.926 1.926 3.841
1.926 -1.926 3.841
1.926 1.926 -3.841
Cr Re Tc
1 2 1
Direct
0.000 0.000 0.000
0.250 0.750 0.500
0.500 0.500 0.000
0.750 0.250 0.500
```

=====

CrRe2Tc | PBE | optimized geometry

## Properties
The crystal system is orthorhombic. The energy relative to the lowest polymorph listed for this composition is 11 meV/atom. The density of states at the Fermi level is 4.06 states/eV/f.u.

Cell and atoms, written as POSCAR:
```
CrRe2Tc
1.0
-1.505 2.178 4.326
1.505 -2.178 4.326
1.505 2.178 -4.326
Cr Re Tc
1 2 1
Direct
0.000 0.000 0.000
0.226 0.726 0.500
0.489 0.489 0.000
0.759 0.259 0.500
```

=====

CrRe2Tc | PBE | optimized geometry

## Properties
The crystal system is trigonal. The energy relative to the lowest polymorph listed for this composition is 276 meV/atom. The density of states at the Fermi level is 3.56 states/eV/f.u.

Cell and atoms, written as POSCAR:
```
CrRe2Tc
1.0
2.060 1.189 4.316
-2.060 1.189 4.316
0.000 -2.379 4.316
Cr Re Tc
1 2 1
Direct
0.000 0.000 0.000
0.404 0.404 0.404
0.603 0.603 0.603
0.812 0.812 0.812
```

=====

CrRe2Tc | PBE | optimized geometry

## Properties
The crystal system is orthorhombic. The energy relative to the lowest polymorph listed for this composition is 0 meV/atom. The density of states at the Fermi level is 3.27 states/eV/f.u.

Cell and atoms, written as POSCAR:
```
CrRe2Tc
1.0
2.734 0.000 0.000
0.000 3.834 0.000
0.000 0.000 5.435
Cr Re Tc
1 2 1
Direct
0.000 0.000 0.000
0.000 0.000 0.502
0.500 0.500 0.242
0.500 0.500 0.761
```

=====

CrRe2Tc | PBE | optimized geometry

## Properties
The crystal system is orthorhombic. The energy relative to the lowest polymorph listed for this composition is 2 meV/atom. The density of states at the Fermi level is 4.40 states/eV/f.u.

Cell and atoms, written as POSCAR:
```
CrRe2Tc
1.0
-1.509 2.179 4.325
1.509 -2.179 4.325
1.509 2.179 -4.325
Cr Re Tc
1 2 1
Direct
0.000 0.000 0.000
0.233 0.733 0.500
0.767 0.267 0.500
0.500 0.500 0.000
```

=====

CrRe2Tc | PBE | optimized geometry

## Properties
The crystal system is cubic. The energy relative to the lowest polymorph listed for this composition is 71 meV/atom. The density of states at the Fermi level is 5.76 states/eV/f.u.

Cell and atoms, written as POSCAR:
```
CrRe2Tc
1.0
0.000 3.053 3.053
3.053 0.000 3.053
3.053 3.053 0.000
Cr Re Tc
1 2 1
Direct
0.000 0.000 0.000
0.250 0.250 0.250
0.750 0.750 0.750
0.500 0.500 0.500
```

=====

Cr9Re2Tc | PBE | optimized geometry

## Properties
The crystal system is trigonal. As for the calculated total energy: -9.95 eV/atom. The density of states at the Fermi level is 16.07 states/eV/f.u.

Cell and atoms, written as POSCAR:
```
Cr9Re2Tc
1.0
2.373 1.370 7.818
-2.373 1.370 7.818
0.000 -2.740 7.818
Cr Re Tc
9 2 1
Direct
0.000 0.000 0.000
0.088 0.088 0.582
0.088 0.582 0.088
0.168 0.168 0.168
0.418 0.912 0.912
0.582 0.088 0.088
0.832 0.832 0.832
0.912 0.418 0.912
0.912 0.912 0.418
0.355 0.355 0.355
0.645 0.645 0.645
0.500 0.500 0.500
```

=====

CrRe2Tc | PBE | optimized geometry

## Properties
The crystal system is tetragonal. The energy relative to the lowest polymorph listed for this composition is 724 meV/atom. The density of states at the Fermi level is 5.37 states/eV/f.u.

Cell and atoms, written as POSCAR:
```
CrRe2Tc
1.0
-1.834 1.834 9.408
1.834 -1.834 9.408
1.834 1.834 -9.408
Cr Re Tc
2 4 2
Direct
0.000 0.000 0.000
0.750 0.250 0.500
0.095 0.625 0.970
0.375 0.345 0.470
0.655 0.125 0.030
0.875 0.905 0.530
0.250 0.750 0.500
0.500 0.500 0.000
```

=====

Cr14ReTc | PBE | optimized geometry

## Properties
The crystal system is orthorhombic. As for the calculated total energy: -9.84 eV/atom. The density of states at the Fermi level is 7.88 states/eV/f.u.

Cell and atoms, written as POSCAR:
```
Cr14ReTc
1.0
2.907 -4.116 0.000
2.907 4.116 0.000
0.000 0.000 8.193
Cr Re Tc
14 1 1
Direct
0.000 0.000 0.000
0.000 0.500 0.000
0.000 0.500 0.500
0.250 0.250 0.243
0.250 0.250 0.757
0.250 0.750 0.247
0.250 0.750 0.753
0.500 0.000 0.000
0.500 0.000 0.500
0.500 0.500 0.000
0.750 0.250 0.247
0.750 0.250 0.753
0.750 0.750 0.243
0.750 0.750 0.757
0.000 0.000 0.500
0.500 0.500 0.500
```

=====

CrRe2Tc | PBE | optimized geometry

## Properties
The crystal system is trigonal. The energy relative to the lowest polymorph listed for this composition is 37 meV/atom. The density of states at the Fermi level is 5.88 states/eV/f.u.

Cell and atoms, written as POSCAR:
```
CrRe2Tc
1.0
1.368 0.790 8.803
-1.368 0.790 8.803
0.000 -1.580 8.803
Cr Re Tc
1 2 1
Direct
0.000 0.000 0.000
0.252 0.252 0.252
0.499 0.499 0.499
0.746 0.746 0.746
```